The following is a PBE calculation of a geometry-optimized ErBeAu3 structure, from Alexandria.

abc: 4.546 4.546 4.546
angles: 93.54 93.54 93.54
Fractional coordinates of all 5 atoms:
1 Er 0.346 0.346 0.346
2 Be 0.753 0.753 0.753
3 Au 0.277 0.841 0.841
4 Au 0.841 0.841 0.277
5 Au 0.841 0.277 0.841

Results
As for the formation enthalpy at 0 K: -10.98 kcal/mol of atoms. The calculated volume comes out at 93 Å³/f.u.